# SrGdMg

A geometry-optimized SrGdMg structure (PBE-GGA, the Alexandria database).

Computed properties:
* E_tot: -5.754 eV per atom
* M_tot: 7.7 μB per cell
* energy above the lowest structure with this stoichiometry: 0.0000 eV/atom
* space-group type: I4mm
* formation enthalpy at 0 K: 0.03 eV per atom

a = 3.903 Å, b = 3.903 Å, c = 7.493 Å
α = 105.10°, β = 105.10°, γ = 90.00°
Fractional coordinates of all 3 atoms:
Sr1 0.014 0.014 0.028
Mg1 0.679 0.679 0.358
Gd1 0.307 0.307 0.614